A plane-wave DFT calculation with PBE was carried out for a geometry-optimized Tb4PmPr2Ho structure.

Unit cell a=5.117 b=5.096 c=11.375 alpha=63.33 beta=90.00 gamma=90.00
Fractional coordinates of all 8 atoms:
Tb (0.000, 0.752, 0.748)
Tb (0.000, 0.248, 0.252)
Tb (0.500, 0.748, 0.251)
Tb (0.500, 0.252, 0.749)
Pm (0.500, 0.500, 0.000)
Pr (0.000, 0.000, 0.000)
Pr (0.500, 0.000, 0.500)
Ho (0.000, 0.500, 0.500)

Formation energy from the elements   0.0177 eV per atom



A plane-wave DFT calculation with PBE was carried out for a geometry-optimized LiCaLaEu structure.

Unit cell a=5.841 b=5.841 c=5.841 alpha=60.00 beta=60.00 gamma=60.00
Fractional coordinates of all 4 atoms:
Eu (0.500, 0.500, 0.500)
Ca (0.750, 0.750, 0.750)
Li (0.000, 0.000, 0.000)
La (0.250, 0.250, 0.250)

Formation energy from the elements   0.1680 eV per atom



A plane-wave DFT calculation with PBE was carried out for a geometry-optimized ErZnPt structure.

Unit cell a=4.552 b=4.552 c=4.552 alpha=60.00 beta=60.00 gamma=60.00
Fractional coordinates of all 3 atoms:
Zn (0.000, 0.000, 0.000)
Pt (0.250, 0.250, 0.250)
Er (0.500, 0.500, 0.500)

Formation energy from the elements   -0.8241 eV per atom



A plane-wave DFT calculation with PBE was carried out for a geometry-optimized Dy6CdC3 structure.

Unit cell a=3.591 b=11.095 c=11.295 alpha=101.73 beta=90.00 gamma=90.00
Fractional coordinates of all 20 atoms:
Dy (0.750, 0.530, 0.633)
Dy (0.250, 0.470, 0.367)
Dy (0.750, 0.927, 0.097)
Dy (0.250, 0.073, 0.903)
Dy (0.750, 0.388, 0.050)
Dy (0.250, 0.612, 0.950)
Dy (0.750, 0.669, 0.242)
Dy (0.250, 0.331, 0.758)
Dy (0.750, 0.232, 0.484)
Dy (0.250, 0.768, 0.516)
Dy (0.750, 0.811, 0.806)
Dy (0.250, 0.189, 0.194)
Cd (0.750, 0.027, 0.644)
Cd (0.250, 0.973, 0.356)
C (0.750, 0.471, 0.855)
C (0.250, 0.529, 0.145)
C (0.750, 0.624, 0.442)
C (0.250, 0.376, 0.558)
C (0.750, 0.143, 0.049)
C (0.250, 0.857, 0.951)

Formation energy from the elements   -0.2130 eV per atom



A plane-wave DFT calculation with PBE was carried out for a geometry-optimized LuThGaPd structure.

Unit cell a=5.084 b=5.084 c=5.084 alpha=60.00 beta=60.00 gamma=60.00
Fractional coordinates of all 4 atoms:
Ga (0.250, 0.250, 0.250)
Lu (0.500, 0.500, 0.500)
Pd (0.750, 0.750, 0.750)
Th (0.000, 0.000, 0.000)

Formation energy from the elements   -0.5903 eV per atom



A plane-wave DFT calculation with PBE was carried out for a geometry-optimized GaFeCuAu2 structure.

Unit cell a=4.888 b=4.537 c=4.888 alpha=90.00 beta=90.00 gamma=90.00
Fractional coordinates of all 5 atoms:
Au (0.000, 0.000, 0.500)
Au (0.500, 0.000, 0.000)
Cu (0.000, 0.500, 0.000)
Ga (0.500, 0.500, 0.500)
Fe (0.000, 0.000, 0.000)

Formation energy from the elements   0.7066 eV per atom